NbOsN2O: optimized geometry, PBE.

Summary:
Space group: P4/mmm, No. 123
Spin magnetization, μB per atom: 0.69
DOS at the Fermi energy, states/eV/f.u.: 3.8
Formation energy from raw total energies, meV per atom: 777

Cell and atoms, written as POSCAR:
```
NbOsN2O
1.0
-2.104 1.172 -3.349
-3.416 -1.721 1.544
-0.899 3.337 1.732
O N Os Nb
1 2 1 1
Cartesian
-0.449 1.668 0.866 O
-1.708 -0.861 0.772 N
-1.052 0.586 -1.675 N
-3.209 1.394 -0.037 Os
0.000 0.000 0.000 Nb
```